The following is a DFT calculation (GGA-PBE) of Mg2Pb3 after structural relaxation.

Structure (extended XYZ):
```
10
Lattice="6.5955 -0.9969 7.0618 6.2465 4.4388 3.5467 -1.7805 -0.3320 6.2245" Properties=species:S:1:pos:R:3 pbc="T T T"
Mg 6.3172 3.6972 6.7218
Mg 4.2202 0.6690 10.7781
Mg 1.3986 -0.3351 6.9524
Mg 10.2035 2.1494 9.1928
Pb 7.1234 1.2412 9.1132
Pb 4.2869 1.0329 7.2761
Pb 6.9134 1.2508 12.4294
Pb 10.0277 2.5784 12.3764
Pb 4.6415 3.6863 9.5479
Pb 2.9409 0.3570 3.9850
```

Density of states at the Fermi level ... 0.40 states/eV/atom
M_tot ... 0.000 μB/f.u.
ΔE to the lowest computed polymorph ... 0.20 eV per formula unit
Energy of formation ... -0.007 eV per atom
Crystal system ... orthorhombic